Record 1
VASP calculation (PBE) on crystalline MnPd2N4 at its relaxed geometry.

E_tot in eV/atom: -6.33
Raw formation energy in eV per formula unit: 8.52
Crystal system: tetragonal
Spin magnetization in μB/f.u.: 0.00

Cell: 6.0338 6.0338 6.0338 Å, 144.03 144.03 51.78°
Fractional positions:
Mn  0.0000  0.0000  0.0000
Pd  0.3552  0.3552  0.0000
Pd  0.6448  0.6448  0.0000
N  0.0000  0.5000  0.5000
N  0.1734  0.1734  0.0000
N  0.5000  0.0000  0.5000
N  0.8266  0.8266  0.0000


Record 2
VASP calculation (PBE) on crystalline HgPb4Au at its relaxed geometry.

E_tot in eV/atom: -3.08
Distance to the lowest polymorph of the same formula in eV/atom: 0.000
Formation enthalpy at 0 K in eV/f.u.: -0.09
Crystal system: monoclinic
Spin magnetization in μB/f.u.: 0.00

Cell: 8.2659 8.2659 6.0105 Å, 101.96 101.96 112.65°
Fractional positions:
Hg  0.1232  0.8768  0.7500
Hg  0.8768  0.1232  0.2500
Pb  0.1348  0.2863  0.8443
Pb  0.1972  0.5524  0.4079
Pb  0.2863  0.1348  0.3443
Pb  0.4476  0.8028  0.0921
Pb  0.5524  0.1972  0.9079
Pb  0.7137  0.8652  0.6557
Pb  0.8028  0.4476  0.5921
Pb  0.8652  0.7137  0.1557
Au  0.4862  0.5138  0.7500
Au  0.5138  0.4862  0.2500


Record 3
VASP calculation (PBE) on crystalline AgHgB2O at its relaxed geometry.

E_tot in eV/atom: -2.92
Raw formation energy in eV per formula unit: 6.88
Crystal system: tetragonal
Spin magnetization in μB/f.u.: 0.00

Cell: 3.9788 3.9788 4.4389 Å, 90.00 90.00 90.00°
Fractional positions:
Ag  0.0000  0.0000  0.0000
Hg  0.5000  0.5000  0.0000
B  0.0000  0.5000  0.5000
B  0.5000  0.0000  0.5000
O  0.0000  0.0000  0.5000


Record 4
VASP calculation (PBE) on crystalline Mg2NiIr at its relaxed geometry.

E_tot in eV/atom: -4.55
Formation enthalpy at 0 K in eV/f.u.: -0.35
Crystal system: orthorhombic
Spin magnetization in μB/f.u.: 0.00

Cell: 2.7837 3.9898 5.4625 Å, 90.00 90.00 90.00°
Fractional positions:
Mg  0.0000  0.0000  0.0000
Mg  0.5000  0.5000  0.3028
Ni  0.0000  0.0000  0.5281
Ir  0.5000  0.5000  0.7817